No. 1
Density functional theory data (PBE) for a geometry-optimized CsKBa2Cl structure.

uncorrected formation energy = -0.557 eV per atom
energy above the most stable polymorph in this dataset = 42.3 meV per atom
uncorrected energy = -2.09 eV/atom
magnetic moment = 0.00 μB/f.u.

Cell lengths 6.436, 6.436, 7.748 Å; angles 90.00, 90.00, 90.00 degrees
Element x y z (fractional)
Cs  0.500  0.500  0.500
K  0.000  0.000  0.500
Ba  0.000  0.500  0.000
Ba  0.500  0.000  0.000
Cl  0.000  0.000  0.000

No. 2
Density functional theory data (PBE) for a geometry-optimized CuNi2Mo structure.

energy above the most stable polymorph in this dataset = 275.4 meV per atom
uncorrected energy = -6.35 eV/atom
magnetic moment = 0.65 μB/f.u.
formation energy = 269 meV/atom

Cell lengths 2.643, 4.440, 4.308 Å; angles 90.00, 90.00, 90.00 degrees
Each line ends with the local moment (μB).
Element x y z (fractional)
Cu  0.500  0.000  0.500  0.03
Mo  0.000  0.500  0.500  0.09
Ni  0.000  0.000  0.000  0.39
Ni  0.500  0.500  0.000  0.16